Entry 1:
Material: TbSm2Tm12
Method: DFT, PBE
State: optimized geometry

Energy relative to the elements, eV per atom: 0.1094

```
TbSm2Tm12
1.0
-3.1495 2.8706 -5.0080
-6.5587 -0.3875 0.2690
-3.2705 17.9905 16.1263
Tm Sm Tb
24 4 2
Direct
0.6790 0.8210 0.5725
0.3343 0.6666 0.4451
0.3944 0.6058 0.1919
0.5490 0.4499 0.0666
0.9982 0.0021 0.3303
0.8210 0.6790 0.4275
0.1480 0.3520 0.8643
0.8942 0.1056 0.1919
0.1801 0.3199 0.5728
0.9510 0.0501 0.9334
0.3199 0.1801 0.4272
0.3520 0.1480 0.1357
0.4499 0.5490 0.9334
0.0501 0.9510 0.0666
0.0021 0.9982 0.6697
0.8334 0.1657 0.4451
0.4979 0.5018 0.3303
0.1056 0.8942 0.8081
0.1657 0.8334 0.5549
0.8517 0.6483 0.1351
0.6483 0.8517 0.8649
0.5018 0.4979 0.6697
0.6666 0.3343 0.5549
0.6058 0.3944 0.8081
0.9609 0.5391 0.2806
0.0385 0.4615 0.7189
0.5391 0.9609 0.7194
0.4615 0.0385 0.2811
0.9999 0.5001 0.0000
0.5001 0.9999 0.0000
```



Entry 2:
Material: Mg3Rh
Method: DFT, PBE
State: optimized geometry

Energy relative to the elements, eV per atom: -0.3113

```
Mg3Rh
1.0
5.5386 -0.0069 -0.0108
2.6359 4.8711 0.0108
-3.5992 -3.2523 2.6729
Mg Rh
3 1
Direct
0.0000 0.5000 0.5000
0.2800 0.2800 0.0000
0.7200 0.7200 0.0000
0.5000 0.0000 0.5000
```



Entry 3:
Material: RbAcHgF6
Method: DFT, PBE
State: optimized geometry

Formation energy (no corrections), meV/atom: -2886.1

```
RbAcHgF6
1.0
6.6046 0.0000 0.0000
-3.3023 5.7197 0.0000
0.0000 0.0000 10.5201
F Rb Hg Ac
12 2 2 2
Direct
0.0084 0.3718 0.6395
0.6282 0.9916 0.8605
0.9916 0.3635 0.1395
0.9916 0.6282 0.3605
0.6282 0.6365 0.6395
0.6365 0.0084 0.3605
0.3718 0.3635 0.3605
0.0084 0.6365 0.8605
0.3635 0.9916 0.6395
0.6365 0.6282 0.1395
0.3635 0.3718 0.8605
0.3718 0.0084 0.1395
0.0000 0.0000 0.5000
0.0000 0.0000 0.0000
0.3333 0.6667 0.7500
0.6667 0.3333 0.2500
0.6667 0.3333 0.7500
0.3333 0.6667 0.2500
```